A plane-wave DFT calculation with PBE was carried out for a relaxed structure of Rb2LiBr.

Unit cell a=6.408 b=6.408 c=6.408 alpha=60.00 beta=60.00 gamma=60.00
Element x y z (fractional)
Li 0.000 0.000 0.000
Rb 0.750 0.750 0.750
Rb 0.250 0.250 0.250
Br 0.500 0.500 0.500

Results
Energy relative to the elements, uncorrected: -0.55 eV per atom
E: -1.93 eV per atom
Relative energy among the computed polymorphs: 14.8 kJ per mole of atoms

=====

A plane-wave DFT calculation with PBE was carried out for a relaxed structure of Rb3LiBr.

Unit cell a=6.783 b=6.783 c=6.783 alpha=90.00 beta=90.00 gamma=90.00
Element x y z (fractional)
Rb 0.000 0.500 0.000
Rb 0.000 0.000 0.500
Rb 0.500 0.000 0.000
Br 0.000 0.000 0.000
Li 0.500 0.500 0.500

Results
Energy relative to the elements, uncorrected: -0.55 eV per atom
E: -1.84 eV per atom
Relative energy among the computed polymorphs: 0.0 kJ per mole of atoms

=====

A plane-wave DFT calculation with PBE was carried out for a relaxed structure of RbLi2Br.

Unit cell a=5.847 b=5.847 c=5.847 alpha=60.00 beta=60.00 gamma=60.00
Element x y z (fractional)
Br 0.000 0.000 0.000
Li 0.250 0.250 0.250
Li 0.750 0.750 0.750
Rb 0.500 0.500 0.500

Results
Energy relative to the elements, uncorrected: -0.19 eV per atom
E: -1.80 eV per atom
Relative energy among the computed polymorphs: 29.2 kJ per mole of atoms

=====

A plane-wave DFT calculation with PBE was carried out for a relaxed structure of RbLi2Br.

Unit cell a=8.190 b=8.190 c=8.015 alpha=59.28 beta=59.28 gamma=90.00
Element x y z (fractional)
Br 0.250 0.750 0.500
Br 0.500 0.500 0.000
Rb 0.750 0.250 0.500
Rb 0.000 0.000 0.000
Li 0.875 0.697 0.750
Li 0.303 0.625 0.250
Li 0.447 0.125 0.250
Li 0.375 0.553 0.750

Results
Energy relative to the elements, uncorrected: -0.49 eV per atom
E: -2.11 eV per atom
Relative energy among the computed polymorphs: 0.0 kJ per mole of atoms

=====

A plane-wave DFT calculation with PBE was carried out for a relaxed structure of Rb2LiBr7.

Unit cell a=7.977 b=7.977 c=7.865 alpha=59.53 beta=59.53 gamma=90.00
Element x y z (fractional)
Br 0.272 0.728 0.000
Br 0.000 0.000 0.000
Br 0.231 0.231 0.537
Br 0.728 0.728 0.000
Br 0.272 0.272 0.000
Br 0.769 0.769 0.463
Br 0.728 0.272 0.000
Rb 0.750 0.250 0.500
Rb 0.250 0.750 0.500
Li 0.500 0.500 0.000

Results
Energy relative to the elements, uncorrected: -0.83 eV per atom
E: -2.39 eV per atom

=====

A plane-wave DFT calculation with PBE was carried out for a relaxed structure of Rb5Li2Br6.

Unit cell a=4.657 b=13.847 c=17.408 alpha=90.00 beta=90.00 gamma=90.00
Element x y z (fractional)
Li 0.000 0.422 0.278
Li 0.000 0.578 0.722
Li 0.000 0.078 0.778
Li 0.000 0.922 0.222
Rb 0.500 0.175 0.225
Rb 0.500 0.825 0.775
Rb 0.500 0.000 0.500
Rb 0.500 0.325 0.725
Rb 0.500 0.500 0.000
Rb 0.500 0.367 0.460
Rb 0.500 0.675 0.275
Rb 0.500 0.633 0.540
Rb 0.500 0.133 0.960
Rb 0.500 0.867 0.040
Br 0.000 0.053 0.110
Br 0.000 0.447 0.610
Br 0.500 0.435 0.210
Br 0.000 0.947 0.890
Br 0.000 0.258 0.350
Br 0.500 0.065 0.710
Br 0.000 0.242 0.850
Br 0.000 0.553 0.390
Br 0.500 0.935 0.290
Br 0.000 0.758 0.150
Br 0.000 0.742 0.650
Br 0.500 0.565 0.790

Results
Energy relative to the elements, uncorrected: -1.50 eV per atom
E: -2.93 eV per atom

=====

A plane-wave DFT calculation with PBE was carried out for a relaxed structure of RbLiBr.

Unit cell a=4.616 b=4.616 c=14.255 alpha=90.00 beta=90.00 gamma=90.00
Element x y z (fractional)
Rb 0.500 0.000 0.638
Rb 0.000 0.500 0.362
Br 0.000 0.500 0.918
Br 0.500 0.000 0.082
Li 0.500 0.500 0.000
Li 0.000 0.000 0.000

Results
Energy relative to the elements, uncorrected: -0.96 eV per atom
E: -2.48 eV per atom

=====

A plane-wave DFT calculation with PBE was carried out for a relaxed structure of Rb2LiBr.

Unit cell a=9.688 b=9.688 c=8.584 alpha=55.65 beta=55.65 gamma=90.00
Element x y z (fractional)
Br 0.000 0.000 0.000
Br 0.750 0.250 0.500
Rb 0.875 0.930 0.750
Rb 0.680 0.125 0.250
Rb 0.375 0.320 0.750
Rb 0.070 0.625 0.250
Li 0.500 0.500 0.000
Li 0.250 0.750 0.500

Results
Energy relative to the elements, uncorrected: -0.61 eV per atom
E: -1.99 eV per atom
Relative energy among the computed polymorphs: 8.8 kJ per mole of atoms